No. 1
First-principles (PBE) data for a relaxed structure of La2Ga4PdRh3, as listed in Alexandria via LeMat-Bulk.

Lattice parameters (Å, degrees): 4.324 4.324 10.333 90.00 90.00 90.00
Space group P-4m2 (No. 115)
One atom of each set of equivalent atoms:
La  0.000  0.500  0.248
Ga  0.000  0.000  0.500
Ga  0.000  0.500  0.872
Ga  0.500  0.500  0.500
Pd  0.500  0.500  0.000
Rh  0.000  0.000  0.000
Rh  0.000  0.500  0.629

Computed properties:
Energy of formation = -8.22 eV/f.u.

---

No. 2
First-principles (PBE) data for a relaxed structure of Li2TbCd2Sn2, as listed in Alexandria via LeMat-Bulk.

Lattice parameters (Å, degrees): 4.6890 4.6890 24.7852 90.00 90.00 120.00
Space group R-3m (No. 166, hexagonal axes)
One atom of each set of equivalent atoms:
Li  0.0000  0.0000  0.1430
Tb  0.0000  0.0000  0.0000
Cd  0.0000  0.0000  0.4408
Sn  0.0000  0.0000  0.2657

Computed properties:
Energy of formation = -2.86 eV/f.u.

---

No. 3
First-principles (PBE) data for a relaxed structure of Zr3ScS, as listed in Alexandria via LeMat-Bulk.

Lattice parameters (Å, degrees): 5.051 5.051 5.051 90.00 90.00 90.00
Space group Pm-3m (No. 221)
One atom of each set of equivalent atoms:
Zr  0.000  0.000  0.500
Sc  0.000  0.000  0.000
S  0.500  0.500  0.500

Computed properties:
Offset from the most stable computed form = 1.701 eV per atom
Energy relative to the elements, uncorrected = 1.18 eV per atom

---

No. 4
First-principles (PBE) data for a relaxed structure of DyThPd2, as listed in Alexandria via LeMat-Bulk.

Lattice parameters (Å, degrees): 7.161 7.161 7.161 90.00 90.00 90.00
Space group Fm-3m (No. 225)
One atom of each set of equivalent atoms:
Dy  0.000  0.000  0.000
Th  0.000  0.000  0.500
Pd  0.250  0.250  0.250

Computed properties:
Offset from the most stable computed form = 0.091 eV per atom
Energy of formation = -3.02 eV/f.u.

---

No. 5
First-principles (PBE) data for a relaxed structure of MgBeRe2, as listed in Alexandria via LeMat-Bulk.

Lattice parameters (Å, degrees): 3.021 3.021 6.411 90.00 90.00 90.00
Space group P4mm (No. 99)
One atom of each set of equivalent atoms:
Mg  0.000  0.000  0.000
Be  0.500  0.500  0.729
Re  0.000  0.000  0.531
Re  0.500  0.500  0.305

Computed properties:
Offset from the most stable computed form = 0.000 eV per atom
Energy of formation = 0.20 eV/f.u.

---

No. 6
First-principles (PBE) data for a relaxed structure of Li3ZnGa5, as listed in Alexandria via LeMat-Bulk.

Lattice parameters (Å, degrees): 7.728 7.728 10.533 90.00 90.00 90.00
Space group I4/mcm (No. 140)
One atom of each set of equivalent atoms:
Li  0.000  0.000  0.250
Li  0.106  0.394  0.000
Zn  0.000  0.500  0.250
Ga  0.000  0.000  0.000
Ga  0.202  0.298  0.368

Computed properties:
Energy of formation = -0.68 eV/f.u.

---

Number 1: final energy -5.743 eV/atom, magnetization 0.00 μB/f.u., mass density 8.35 g/cm³. Number 2: final energy -3.021 eV/atom, magnetization 0.00 μB/f.u., mass density 6.70 g/cm³. Number 3: final energy -6.042 eV/atom, magnetization 0.00 μB/f.u., mass density 4.52 g/cm³. Number 4: final energy -6.357 eV/atom, magnetization 0.00 μB/f.u., mass density 10.99 g/cm³. Number 5: final energy -7.503 eV/atom, magnetization 0.00 μB/f.u., mass density 11.51 g/cm³. Number 6: final energy -2.537 eV/atom, magnetization 0.00 μB/f.u., mass density 4.59 g/cm³.